RbNiOF2 | GGA+U | relaxed

a = 4.8853 Å, b = 4.8853 Å, c = 5.0311 Å
α = 90.00°, β = 90.00°, γ = 90.00°
Closest atoms and distances in Å follow each position.
Fractional coordinates of all 5 atoms:
F (0.0000, 0.5000, 0.0000)  2 Rb 2.44
Rb (0.0000, 0.0000, 0.0000)  4 F 2.44, 2 O 2.52
O (0.0000, 0.0000, 0.5000)  2 Rb 2.52
Ni (0.5000, 0.5000, 0.5000)  4 O 3.45, 8 F 3.51
F (0.5000, 0.0000, 0.0000)  2 Rb 2.44

Results
polymorph energy (0 for the lowest one) = 157.6 kJ/mol of atoms
ρ = 2.740 Mg/m³
electronic total energy = -12.72 eV/cell
SG = No. 123